## i
The following is a DFT calculation (PBE+U) of a relaxed MgCoTeO crystal.

Theoretical density   5.180 g/cm³
Total magnetic moment   2.92 μB per formula unit
Space-group type   No. 62

Cell: 5.983 3.689 13.176 Å, 90.00 90.00 90.00°
Element x y z (fractional)
Te (0.229, 0.250, 0.906)
Te (0.771, 0.750, 0.094)
Te (0.729, 0.250, 0.594)
Te (0.271, 0.750, 0.406)
Co (0.596, 0.250, 0.214)
Co (0.096, 0.250, 0.286)
Co (0.404, 0.750, 0.786)
Co (0.904, 0.750, 0.714)
O (0.780, 0.250, 0.335)
O (0.720, 0.750, 0.835)
O (0.280, 0.250, 0.165)
O (0.220, 0.750, 0.665)
Mg (0.263, 0.750, 0.100)
Mg (0.763, 0.750, 0.400)
Mg (0.737, 0.250, 0.900)
Mg (0.237, 0.250, 0.600)



## ii
The following is a DFT calculation (PBE+U) of a relaxed MgCoTeO crystal.

Theoretical density   5.258 g/cm³
Total magnetic moment   2.89 μB per formula unit
Space-group type   No. 36

Cell: 6.660 6.660 6.204 Å, 90.00 90.00 148.62°
Each line ends with the local moment (μB).
Element x y z (fractional)
O (0.081, 0.919, 0.031)  0.09
O (0.919, 0.081, 0.531)  0.09
Mg (0.969, 0.031, 0.822)  0.01
Mg (0.031, 0.969, 0.322)  0.01
Co (0.335, 0.665, 0.492)  2.50
Co (0.665, 0.335, 0.992)  2.50
Te (0.670, 0.330, 0.548)  0.12
Te (0.330, 0.670, 0.048)  0.12



Which structure wins on stability? i wins.



## i
The following is a DFT calculation (PBE+U) of a relaxed MgCoTeO crystal.

Theoretical density   4.924 g/cm³
Total magnetic moment   2.34 μB per formula unit
Space-group type   No. 129

Cell: 3.877 3.877 10.176 Å, 90.00 90.00 90.00°
Element x y z (fractional)
Co (0.000, 0.000, 0.915)
Co (0.500, 0.500, 0.085)
Te (0.000, 0.000, 0.169)
Te (0.500, 0.500, 0.831)
Mg (0.000, 0.000, 0.491)
Mg (0.500, 0.500, 0.509)
O (0.000, 0.500, 0.500)
O (0.500, 0.000, 0.500)



## ii
The following is a DFT calculation (PBE+U) of a relaxed MgCoTeO crystal.

Theoretical density   5.396 g/cm³
Total magnetic moment   3.00 μB per formula unit
Space-group type   No. 19

Cell: 5.760 5.817 8.334 Å, 90.00 90.00 90.00°
Each line ends with the local moment (μB).
Element x y z (fractional)
Co (0.500, 0.748, 0.722)  2.55
Co (0.500, 0.248, 0.778)  2.58
Co (0.000, 0.252, 0.222)  2.55
Co (0.000, 0.752, 0.278)  2.58
Mg (0.000, 0.749, 0.754)  0.01
Mg (0.500, 0.251, 0.254)  0.01
Mg (0.000, 0.249, 0.746)  0.00
Mg (0.500, 0.751, 0.246)  0.00
Te (0.749, 0.503, 0.000)  0.13
Te (0.251, 0.003, 0.500)  0.13
Te (0.751, 0.497, 0.500)  0.13
Te (0.249, 0.997, 0.000)  0.13
O (0.247, 0.501, 0.249)  0.14
O (0.253, 0.499, 0.749)  0.14
O (0.753, 0.001, 0.251)  0.14
O (0.747, 0.999, 0.751)  0.14



Which structure wins on stability? i wins.



## i
The following is a DFT calculation (PBE+U) of a relaxed MgCoTeO crystal.

Theoretical density   5.376 g/cm³
Total magnetic moment   1.77 μB per formula unit
Space-group type   No. 61

Cell: 6.167 13.669 6.650 Å, 90.00 90.00 90.00°
Each line ends with the local moment (μB).
Element x y z (fractional)
Mg (0.934, 0.244, 0.126)  0.00
Mg (0.566, 0.744, 0.126)  0.00
Mg (0.434, 0.256, 0.874)  0.00
Mg (0.566, 0.756, 0.626)  0.00
Mg (0.934, 0.256, 0.626)  0.00
Mg (0.434, 0.244, 0.374)  0.00
Mg (0.066, 0.756, 0.874)  0.00
Mg (0.066, 0.744, 0.374)  0.00
O (0.240, 0.731, 0.123)  0.00
O (0.760, 0.269, 0.877)  0.00
O (0.240, 0.769, 0.623)  0.00
O (0.260, 0.231, 0.123)  0.00
O (0.740, 0.769, 0.877)  0.00
O (0.740, 0.731, 0.377)  0.00
O (0.260, 0.269, 0.623)  0.00
O (0.760, 0.231, 0.377)  0.00
Co (0.754, 0.419, 0.931)  1.80
Co (0.246, 0.919, 0.569)  1.80
Co (0.246, 0.581, 0.069)  1.80
Co (0.754, 0.081, 0.431)  1.80
Co (0.746, 0.919, 0.931)  1.80
Co (0.254, 0.081, 0.069)  1.80
Co (0.254, 0.419, 0.569)  1.80
Co (0.746, 0.581, 0.431)  1.80
Te (0.000, 0.544, 0.746)  -0.04
Te (0.000, 0.456, 0.254)  -0.04
Te (0.500, 0.956, 0.254)  -0.05
Te (0.500, 0.544, 0.754)  -0.05
Te (0.000, 0.044, 0.754)  -0.04
Te (0.500, 0.044, 0.746)  -0.05
Te (0.000, 0.956, 0.246)  -0.04
Te (0.500, 0.456, 0.246)  -0.05



## ii
The following is a DFT calculation (PBE+U) of a relaxed MgCoTeO crystal.

Theoretical density   5.158 g/cm³
Total magnetic moment   2.95 μB per formula unit
Space-group type   No. 36

Cell: 6.852 6.852 5.977 Å, 90.00 90.00 31.36°
Each line ends with the local moment (μB).
Element x y z (fractional)
O (0.916, 0.916, 0.026)  0.10
O (0.084, 0.084, 0.526)  0.10
Te (0.342, 0.342, 0.518)  0.13
Te (0.658, 0.658, 0.018)  0.13
Mg (0.649, 0.649, 0.505)  0.01
Mg (0.351, 0.351, 0.005)  0.01
Co (0.038, 0.038, 0.844)  2.51
Co (0.962, 0.962, 0.344)  2.50



Which structure wins on stability? ii wins.



## i
The following is a DFT calculation (PBE+U) of a relaxed MgCoTeO crystal.

Theoretical density   5.107 g/cm³
Total magnetic moment   3.00 μB per formula unit
Space-group type   No. 14

Cell: 7.668 12.501 6.155 Å, 90.00 90.02 90.00°
Each line ends with the local moment (μB).
Element x y z (fractional)
Mg (0.749, 0.500, 0.500)  0.00
Mg (0.752, 0.001, 0.500)  0.01
Mg (0.248, 0.501, 0.000)  0.01
Mg (0.251, 0.000, 0.000)  0.00
Mg (0.251, 0.500, 0.500)  0.00
Mg (0.752, 0.499, 0.000)  0.01
Mg (0.749, 0.000, 0.000)  0.00
Mg (0.248, 0.999, 0.500)  0.01
Te (0.500, 0.365, 0.743)  0.11
Te (0.000, 0.864, 0.757)  0.11
Te (0.000, 0.136, 0.243)  0.11
Te (0.500, 0.135, 0.243)  0.11
Te (0.500, 0.865, 0.757)  0.11
Te (0.500, 0.635, 0.257)  0.11
Te (0.000, 0.364, 0.743)  0.11
Te (0.000, 0.636, 0.257)  0.11
Co (0.501, 0.846, 0.219)  2.60
Co (0.501, 0.654, 0.719)  2.60
Co (0.499, 0.346, 0.281)  2.60
Co (0.001, 0.654, 0.713)  2.59
Co (0.499, 0.154, 0.781)  2.60
Co (0.999, 0.346, 0.287)  2.59
Co (0.999, 0.154, 0.787)  2.59
Co (0.001, 0.846, 0.213)  2.59
O (0.250, 0.900, 0.251)  0.10
O (0.249, 0.400, 0.248)  0.10
O (0.249, 0.100, 0.748)  0.10
O (0.750, 0.100, 0.749)  0.10
O (0.751, 0.600, 0.752)  0.10
O (0.750, 0.400, 0.249)  0.10
O (0.751, 0.900, 0.252)  0.10
O (0.250, 0.600, 0.751)  0.10



## ii
The following is a DFT calculation (PBE+U) of a relaxed MgCoTeO crystal.

Theoretical density   4.806 g/cm³
Total magnetic moment   2.92 μB per formula unit
Space-group type   No. 129

Cell: 4.002 4.002 9.785 Å, 90.00 90.00 90.00°
Element x y z (fractional)
Co (0.250, 0.250, 0.462)
Co (0.750, 0.750, 0.538)
Te (0.250, 0.250, 0.176)
Te (0.750, 0.750, 0.824)
Mg (0.750, 0.750, 0.120)
Mg (0.250, 0.250, 0.880)
O (0.750, 0.250, 0.500)
O (0.250, 0.750, 0.500)



## iii
The following is a DFT calculation (PBE+U) of a relaxed MgCoTeO crystal.

Theoretical density   5.061 g/cm³
Total magnetic moment   2.98 μB per formula unit
Space-group type   No. 36

Cell: 3.810 3.719 12.230 Å, 90.00 90.00 120.81°
Element x y z (fractional)
Co (0.671, 0.342, 0.770)
Co (0.329, 0.658, 0.270)
O (0.989, 0.978, 0.824)
O (0.011, 0.022, 0.324)
Mg (0.998, 0.996, 0.478)
Mg (0.002, 0.004, 0.978)
Te (0.340, 0.681, 0.617)
Te (0.660, 0.319, 0.117)



## iv
The following is a DFT calculation (PBE+U) of a relaxed MgCoTeO crystal.

Theoretical density   6.135 g/cm³
Total magnetic moment   1.00 μB per formula unit
Space-group type   No. 29

Cell: 5.555 7.962 5.553 Å, 90.00 90.00 90.00°
Element x y z (fractional)
O (0.997, 0.054, 0.126)
O (0.503, 0.054, 0.626)
O (0.003, 0.946, 0.626)
O (0.497, 0.946, 0.126)
Te (0.499, 0.359, 0.124)
Te (0.999, 0.641, 0.124)
Te (0.501, 0.641, 0.624)
Te (0.001, 0.359, 0.624)
Co (0.497, 0.683, 0.124)
Co (0.003, 0.683, 0.624)
Co (0.997, 0.317, 0.124)
Co (0.503, 0.317, 0.624)
Mg (0.250, 0.007, 0.376)
Mg (0.750, 0.993, 0.876)
Mg (0.250, 0.007, 0.876)
Mg (0.750, 0.993, 0.376)



Which structure wins on stability? iv wins.